Record 1
This record from Alexandria via LeMat-Bulk describes crystalline Sc3Cd at its relaxed geometry. The functional is GGA-PBEsol.

space-group type	No. 65
formation energy	-0.085	eV/atom
D(E_F)	5.2	states/eV/f.u.
offset from the most stable computed form	0.071	eV per atom
theoretical density	4.6	g/cm3
crystal system	orthorhombic

Geometry as CIF:
```
data_Sc3Cd
_chemical_formula_sum 'Sc3 Cd1'
_symmetry_space_group_name_H-M 'P 1'
_symmetry_Int_Tables_number 1
_cell_length_a 5.2640
_cell_length_b 5.2640
_cell_length_c 3.3403
_cell_angle_alpha 90.00
_cell_angle_beta 90.00
_cell_angle_gamma 104.87
loop_
_symmetry_equiv_pos_as_xyz
'x,y,z'
loop_
_atom_site_label
_atom_site_type_symbol
_atom_site_fract_x
_atom_site_fract_y
_atom_site_fract_z
Sc1 Sc 0.0000 0.0000 0.0000
Sc2 Sc 0.0000 0.5000 0.5000
Sc3 Sc 0.5000 0.0000 0.5000
Cd1 Cd 0.5000 0.5000 0.0000
```

Record 2
This record from Alexandria via LeMat-Bulk describes crystalline Sc5Cd3 at its relaxed geometry. The functional is GGA-PBEsol.

space-group type	No. 140
formation energy	-0.176	eV/atom
D(E_F)	11.5	states/eV/f.u.
offset from the most stable computed form	0.022	eV per atom
theoretical density	5.3	g/cm3
crystal system	tetragonal

Geometry as CIF:
```
data_Sc5Cd3
_chemical_formula_sum 'Sc10 Cd6'
_symmetry_space_group_name_H-M 'P 1'
_symmetry_Int_Tables_number 1
_cell_length_a 8.5058
_cell_length_b 8.5058
_cell_length_c 8.5058
_cell_angle_alpha 95.80
_cell_angle_beta 95.80
_cell_angle_gamma 142.93
loop_
_symmetry_equiv_pos_as_xyz
'x,y,z'
loop_
_atom_site_label
_atom_site_type_symbol
_atom_site_fract_x
_atom_site_fract_y
_atom_site_fract_z
Sc1 Sc 0.0810 0.7785 0.8595
Sc2 Sc 0.2215 0.0810 0.3025
Sc3 Sc 0.2500 0.7500 0.5000
Sc4 Sc 0.2785 0.5810 0.8595
Sc5 Sc 0.4190 0.2785 0.6975
Sc6 Sc 0.5810 0.7215 0.3025
Sc7 Sc 0.7215 0.4190 0.1405
Sc8 Sc 0.7500 0.2500 0.5000
Sc9 Sc 0.7785 0.9190 0.6975
Sc10 Sc 0.9190 0.2215 0.1405
Cd1 Cd 0.1650 0.3350 0.5000
Cd2 Cd 0.2500 0.2500 0.0000
Cd3 Cd 0.3350 0.8350 0.1699
Cd4 Cd 0.6650 0.1650 0.8301
Cd5 Cd 0.7500 0.7500 0.0000
Cd6 Cd 0.8350 0.6650 0.5000
```

Record 3
This record from Alexandria via LeMat-Bulk describes crystalline Sc3Cd at its relaxed geometry. The functional is GGA-PBEsol.

space-group type	No. 59
formation energy	-0.123	eV/atom
D(E_F)	5.7	states/eV/f.u.
offset from the most stable computed form	0.033	eV per atom
theoretical density	4.7	g/cm3
crystal system	orthorhombic

Geometry as CIF:
```
data_Sc3Cd
_chemical_formula_sum 'Sc6 Cd2'
_symmetry_space_group_name_H-M 'P 1'
_symmetry_Int_Tables_number 1
_cell_length_a 5.0147
_cell_length_b 6.2418
_cell_length_c 5.6177
_cell_angle_alpha 90.00
_cell_angle_beta 90.00
_cell_angle_gamma 90.00
loop_
_symmetry_equiv_pos_as_xyz
'x,y,z'
loop_
_atom_site_label
_atom_site_type_symbol
_atom_site_fract_x
_atom_site_fract_y
_atom_site_fract_z
Sc1 Sc 0.2500 0.0050 0.1560
Sc2 Sc 0.2500 0.2500 0.6374
Sc3 Sc 0.2500 0.4950 0.1560
Sc4 Sc 0.7500 0.5050 0.8440
Sc5 Sc 0.7500 0.7500 0.3626
Sc6 Sc 0.7500 0.9950 0.8440
Cd1 Cd 0.2500 0.7500 0.6656
Cd2 Cd 0.7500 0.2500 0.3344
```

Record 4
This record from Alexandria via LeMat-Bulk describes crystalline ScCd7 at its relaxed geometry. The functional is GGA-PBEsol.

space-group type	No. 225
formation energy	-0.081	eV/atom
D(E_F)	6.0	states/eV/f.u.
offset from the most stable computed form	0.062	eV per atom
theoretical density	8.3	g/cm3
crystal system	cubic

Geometry as CIF:
```
data_ScCd7
_chemical_formula_sum 'Sc1 Cd7'
_symmetry_space_group_name_H-M 'P 1'
_symmetry_Int_Tables_number 1
_cell_length_a 6.1840
_cell_length_b 6.1840
_cell_length_c 6.1840
_cell_angle_alpha 60.00
_cell_angle_beta 60.00
_cell_angle_gamma 60.00
loop_
_symmetry_equiv_pos_as_xyz
'x,y,z'
loop_
_atom_site_label
_atom_site_type_symbol
_atom_site_fract_x
_atom_site_fract_y
_atom_site_fract_z
Sc1 Sc 0.0000 0.0000 0.0000
Cd1 Cd 0.0000 0.0000 0.5000
Cd2 Cd 0.0000 0.5000 0.0000
Cd3 Cd 0.0000 0.5000 0.5000
Cd4 Cd 0.5000 0.0000 0.0000
Cd5 Cd 0.5000 0.0000 0.5000
Cd6 Cd 0.5000 0.5000 0.0000
Cd7 Cd 0.5000 0.5000 0.5000
```

Record 5
This record from Alexandria via LeMat-Bulk describes crystalline Sc3Cd at its relaxed geometry. The functional is GGA-PBEsol.

space-group type	No. 223
formation energy	-0.108	eV/atom
D(E_F)	5.5	states/eV/f.u.
offset from the most stable computed form	0.048	eV per atom
theoretical density	4.7	g/cm3
crystal system	cubic

Geometry as CIF:
```
data_Sc3Cd
_chemical_formula_sum 'Sc6 Cd2'
_symmetry_space_group_name_H-M 'P 1'
_symmetry_Int_Tables_number 1
_cell_length_a 5.5927
_cell_length_b 5.5927
_cell_length_c 5.5927
_cell_angle_alpha 90.00
_cell_angle_beta 90.00
_cell_angle_gamma 90.00
loop_
_symmetry_equiv_pos_as_xyz
'x,y,z'
loop_
_atom_site_label
_atom_site_type_symbol
_atom_site_fract_x
_atom_site_fract_y
_atom_site_fract_z
Sc1 Sc 0.0000 0.2500 0.5000
Sc2 Sc 0.0000 0.7500 0.5000
Sc3 Sc 0.2500 0.5000 0.0000
Sc4 Sc 0.5000 0.0000 0.2500
Sc5 Sc 0.5000 0.0000 0.7500
Sc6 Sc 0.7500 0.5000 0.0000
Cd1 Cd 0.0000 0.0000 0.0000
Cd2 Cd 0.5000 0.5000 0.5000
```

Record 6
This record from Alexandria via LeMat-Bulk describes crystalline Sc5Cd at its relaxed geometry. The functional is GGA-PBEsol.

space-group type	No. 38
formation energy	-0.066	eV/atom
D(E_F)	9.9	states/eV/f.u.
offset from the most stable computed form	0.013	eV per atom
theoretical density	4.1	g/cm3
crystal system	orthorhombic

Geometry as CIF:
```
data_Sc5Cd
_chemical_formula_sum 'Sc5 Cd1'
_symmetry_space_group_name_H-M 'P 1'
_symmetry_Int_Tables_number 1
_cell_length_a 5.0092
_cell_length_b 8.4304
_cell_length_c 8.4304
_cell_angle_alpha 22.44
_cell_angle_beta 90.00
_cell_angle_gamma 90.00
loop_
_symmetry_equiv_pos_as_xyz
'x,y,z'
loop_
_atom_site_label
_atom_site_type_symbol
_atom_site_fract_x
_atom_site_fract_y
_atom_site_fract_z
Sc1 Sc 0.0000 0.0000 0.0000
Sc2 Sc 0.0000 0.3256 0.3256
Sc3 Sc 0.0000 0.6647 0.6647
Sc4 Sc 0.5000 0.1144 0.1144
Sc5 Sc 0.5000 0.4479 0.4479
Cd1 Cd 0.5000 0.7776 0.7776
```

Record 7
This record from Alexandria via LeMat-Bulk describes crystalline Sc4Cd5 at its relaxed geometry. The functional is GGA-PBEsol.

space-group type	No. 193
formation energy	-0.242	eV/atom
D(E_F)	8.9	states/eV/f.u.
offset from the most stable computed form	0.000	eV per atom
theoretical density	6.5	g/cm3
crystal system	hexagonal

Geometry as CIF:
```
data_Sc4Cd5
_chemical_formula_sum 'Sc8 Cd10'
_symmetry_space_group_name_H-M 'P 1'
_symmetry_Int_Tables_number 1
_cell_length_a 8.5614
_cell_length_b 8.5614
_cell_length_c 5.9933
_cell_angle_alpha 90.00
_cell_angle_beta 90.00
_cell_angle_gamma 120.00
loop_
_symmetry_equiv_pos_as_xyz
'x,y,z'
loop_
_atom_site_label
_atom_site_type_symbol
_atom_site_fract_x
_atom_site_fract_y
_atom_site_fract_z
Sc1 Sc 0.0000 0.0000 0.0000
Sc2 Sc 0.0000 0.0000 0.5000
Sc3 Sc 0.0000 0.3499 0.2500
Sc4 Sc 0.0000 0.6501 0.7500
Sc5 Sc 0.3499 0.0000 0.2500
Sc6 Sc 0.3499 0.3499 0.7500
Sc7 Sc 0.6501 0.0000 0.7500
Sc8 Sc 0.6501 0.6501 0.2500
Cd1 Cd 0.0000 0.3155 0.7500
Cd2 Cd 0.0000 0.6845 0.2500
Cd3 Cd 0.3155 0.0000 0.7500
Cd4 Cd 0.3155 0.3155 0.2500
Cd5 Cd 0.3333 0.6667 0.0000
Cd6 Cd 0.3333 0.6667 0.5000
Cd7 Cd 0.6667 0.3333 0.0000
Cd8 Cd 0.6667 0.3333 0.5000
Cd9 Cd 0.6845 0.0000 0.2500
Cd10 Cd 0.6845 0.6845 0.7500
```

Record 8
This record from Alexandria via LeMat-Bulk describes crystalline Sc3Cd at its relaxed geometry. The functional is GGA-PBEsol.

space-group type	No. 74
formation energy	-0.153	eV/atom
D(E_F)	4.7	states/eV/f.u.
offset from the most stable computed form	0.003	eV per atom
theoretical density	4.7	g/cm3
crystal system	orthorhombic

Geometry as CIF:
```
data_Sc3Cd
_chemical_formula_sum 'Sc6 Cd2'
_symmetry_space_group_name_H-M 'P 1'
_symmetry_Int_Tables_number 1
_cell_length_a 6.2712
_cell_length_b 6.2712
_cell_length_c 6.2712
_cell_angle_alpha 119.08
_cell_angle_beta 91.27
_cell_angle_gamma 119.47
loop_
_symmetry_equiv_pos_as_xyz
'x,y,z'
loop_
_atom_site_label
_atom_site_type_symbol
_atom_site_fract_x
_atom_site_fract_y
_atom_site_fract_z
Sc1 Sc 0.2253 0.0000 0.7253
Sc2 Sc 0.2253 0.5000 0.2253
Sc3 Sc 0.2986 0.0486 0.2500
Sc4 Sc 0.7014 0.9514 0.7500
Sc5 Sc 0.7747 0.0000 0.2747
Sc6 Sc 0.7747 0.5000 0.7747
Cd1 Cd 0.2500 0.5000 0.7500
Cd2 Cd 0.7500 0.5000 0.2500
```

Record 9
This record from Alexandria via LeMat-Bulk describes crystalline Sc3Cd at its relaxed geometry. The functional is GGA-PBEsol.

space-group type	No. 123
formation energy	-0.144	eV/atom
D(E_F)	5.0	states/eV/f.u.
offset from the most stable computed form	0.012	eV per atom
theoretical density	4.6	g/cm3
crystal system	tetragonal

Geometry as CIF:
```
data_Sc3Cd
_chemical_formula_sum 'Sc3 Cd1'
_symmetry_space_group_name_H-M 'P 1'
_symmetry_Int_Tables_number 1
_cell_length_a 3.2375
_cell_length_b 3.2375
_cell_length_c 8.5321
_cell_angle_alpha 90.00
_cell_angle_beta 90.00
_cell_angle_gamma 90.00
loop_
_symmetry_equiv_pos_as_xyz
'x,y,z'
loop_
_atom_site_label
_atom_site_type_symbol
_atom_site_fract_x
_atom_site_fract_y
_atom_site_fract_z
Sc1 Sc 0.0000 0.0000 0.0000
Sc2 Sc 0.5000 0.5000 0.2620
Sc3 Sc 0.5000 0.5000 0.7380
Cd1 Cd 0.0000 0.0000 0.5000
```

Record 10
This record from Alexandria via LeMat-Bulk describes crystalline Sc5Cd24 at its relaxed geometry. The functional is GGA-PBEsol.

space-group type	No. 217
formation energy	-0.166	eV/atom
D(E_F)	13.7	states/eV/f.u.
theoretical density	8.2	g/cm3
crystal system	cubic

Geometry as CIF:
```
data_Sc5Cd24
_chemical_formula_sum 'Sc5 Cd24'
_symmetry_space_group_name_H-M 'P 1'
_symmetry_Int_Tables_number 1
_cell_length_a 9.1789
_cell_length_b 9.1789
_cell_length_c 9.1789
_cell_angle_alpha 109.47
_cell_angle_beta 109.47
_cell_angle_gamma 109.47
loop_
_symmetry_equiv_pos_as_xyz
'x,y,z'
loop_
_atom_site_label
_atom_site_type_symbol
_atom_site_fract_x
_atom_site_fract_y
_atom_site_fract_z
Sc1 Sc 0.0000 0.0000 0.0000
Sc2 Sc 0.0000 0.0000 0.6256
Sc3 Sc 0.0000 0.6256 0.0000
Sc4 Sc 0.3744 0.3744 0.3744
Sc5 Sc 0.6256 0.0000 0.0000
Cd1 Cd 0.0000 0.1912 0.3711
Cd2 Cd 0.0000 0.3711 0.1912
Cd3 Cd 0.0000 0.3933 0.6823
Cd4 Cd 0.0000 0.6823 0.3933
Cd5 Cd 0.1799 0.8088 0.8088
Cd6 Cd 0.1912 0.0000 0.3711
Cd7 Cd 0.1912 0.3711 0.0000
Cd8 Cd 0.2890 0.6067 0.6067
Cd9 Cd 0.3177 0.3177 0.7110
Cd10 Cd 0.3177 0.7110 0.3177
Cd11 Cd 0.3711 0.0000 0.1912
Cd12 Cd 0.3711 0.1912 0.0000
Cd13 Cd 0.3933 0.0000 0.6823
Cd14 Cd 0.3933 0.6823 0.0000
Cd15 Cd 0.6067 0.2890 0.6067
Cd16 Cd 0.6067 0.6067 0.2890
Cd17 Cd 0.6289 0.6289 0.8201
Cd18 Cd 0.6289 0.8201 0.6289
Cd19 Cd 0.6823 0.0000 0.3933
Cd20 Cd 0.6823 0.3933 0.0000
Cd21 Cd 0.7110 0.3177 0.3177
Cd22 Cd 0.8088 0.1799 0.8088
Cd23 Cd 0.8088 0.8088 0.1799
Cd24 Cd 0.8201 0.6289 0.6289
```

Record 11
This record from Alexandria via LeMat-Bulk describes crystalline Sc5Cd at its relaxed geometry. The functional is GGA-PBEsol.

space-group type	No. 189
formation energy	-0.033	eV/atom
D(E_F)	11.7	states/eV/f.u.
offset from the most stable computed form	0.046	eV per atom
theoretical density	4.1	g/cm3
crystal system	hexagonal

Geometry as CIF:
```
data_Sc5Cd
_chemical_formula_sum 'Sc5 Cd1'
_symmetry_space_group_name_H-M 'P 1'
_symmetry_Int_Tables_number 1
_cell_length_a 5.5573
_cell_length_b 5.5573
_cell_length_c 5.0940
_cell_angle_alpha 90.00
_cell_angle_beta 90.00
_cell_angle_gamma 120.00
loop_
_symmetry_equiv_pos_as_xyz
'x,y,z'
loop_
_atom_site_label
_atom_site_type_symbol
_atom_site_fract_x
_atom_site_fract_y
_atom_site_fract_z
Sc1 Sc 0.0000 0.3216 0.0000
Sc2 Sc 0.3216 0.0000 0.0000
Sc3 Sc 0.3333 0.6667 0.5000
Sc4 Sc 0.6667 0.3333 0.5000
Sc5 Sc 0.6784 0.6784 0.0000
Cd1 Cd 0.0000 0.0000 0.5000
```

Record 12
This record from Alexandria via LeMat-Bulk describes crystalline Sc3Cd at its relaxed geometry. The functional is GGA-PBEsol.

space-group type	No. 225
formation energy	-0.049	eV/atom
D(E_F)	6.6	states/eV/f.u.
offset from the most stable computed form	0.107	eV per atom
theoretical density	4.7	g/cm3
crystal system	cubic

Geometry as CIF:
```
data_Sc3Cd
_chemical_formula_sum 'Sc3 Cd1'
_symmetry_space_group_name_H-M 'P 1'
_symmetry_Int_Tables_number 1
_cell_length_a 4.9960
_cell_length_b 4.9960
_cell_length_c 4.9960
_cell_angle_alpha 60.00
_cell_angle_beta 60.00
_cell_angle_gamma 60.00
loop_
_symmetry_equiv_pos_as_xyz
'x,y,z'
loop_
_atom_site_label
_atom_site_type_symbol
_atom_site_fract_x
_atom_site_fract_y
_atom_site_fract_z
Sc1 Sc 0.0000 0.0000 0.0000
Sc2 Sc 0.2500 0.2500 0.2500
Sc3 Sc 0.7500 0.7500 0.7500
Cd1 Cd 0.5000 0.5000 0.5000
```

> Which value of D(E_F) does entry 3 give?

5.7 states/eV/f.u.